Material: Ce2GeH4
Method: DFT, PBE
State: relaxed

Results
E, eV/cell: -65.87
DOS at the Fermi energy, states/eV per atom: 0.185
Space group: P4_2/mnm, No. 136
Spin magnetization, μB per atom: 0.0336

Cell lengths 7.061, 7.061, 3.900 Å; angles 90.00, 90.00, 90.00 degrees
Sites, in units of the cell vectors:
Ce1 0.217 0.217 0.000
Ce2 0.283 0.717 0.500
Ce3 0.717 0.283 0.500
Ce4 0.783 0.783 0.000
Ge1 0.000 0.000 0.500
Ge2 0.500 0.500 0.000
H1 0.105 0.659 0.000
H2 0.159 0.395 0.500
H3 0.341 0.895 0.000
H4 0.395 0.159 0.500
H5 0.605 0.841 0.500
H6 0.659 0.105 0.000
H7 0.841 0.605 0.500
H8 0.895 0.341 0.000